A) Computed, not measured: an optimized crystal structure of CrBiAu3 at the PBE-GGA level of DFT.

Output
**ρ**: 12.3 g/cm³
**Crystal system**: cubic
**Space group**: Pm-3m (221)
**N(E_F)**: 6.55 states/eV/f.u.

Cell: 4.8685 4.8685 4.8685 Å, 90.00 90.00 90.00°
Closest atoms and distances in Å follow each position.
Positions (direct):
1 Cr 0.0000 0.0000 0.0000  6 Au 2.43
2 Bi 0.5000 0.5000 0.5000  12 Au 3.44
3 Au 0.0000 0.0000 0.5000  2 Cr 2.43
4 Au 0.0000 0.5000 0.0000  2 Cr 2.43
5 Au 0.5000 0.0000 0.0000  2 Cr 2.43

---

B) Computed, not measured: an optimized crystal structure of CrBiAu3 at the PBE-GGA level of DFT.

Output
**ρ**: 9.0 g/cm³
**Crystal system**: cubic
**Space group**: Pm-3m (221)
**N(E_F)**: 2.49 states/eV/f.u.

Cell: 5.3888 5.3888 5.3888 Å, 90.00 90.00 90.00°
Closest atoms and distances in Å follow each position.
Positions (direct):
1 Cr 0.0000 0.0000 0.0000  12 Au 3.81
2 Bi 0.5000 0.5000 0.5000  6 Au 2.69
3 Au 0.0000 0.5000 0.5000  2 Bi 2.69
4 Au 0.5000 0.0000 0.5000  2 Bi 2.69
5 Au 0.5000 0.5000 0.0000  2 Bi 2.69

---

Result of the stability comparison: A) is the most stable of them.

---

A) Computed, not measured: an optimized crystal structure of CsBi2Au at the PBE-GGA level of DFT.

Output
**ρ**: 6.9 g/cm³
**Crystal system**: orthorhombic
**Space group**: Pnma (62)
**N(E_F)**: 0.21 states/eV/f.u.

Cell: 7.7172 10.8802 8.5459 Å, 90.00 90.00 90.00°
Closest atoms and distances in Å follow each position.
Positions (direct):
1 Cs 0.1423 0.2500 0.1060  2 Au 3.56-3.65
2 Cs 0.3577 0.7500 0.6060  2 Au 3.56-3.65
3 Cs 0.6423 0.2500 0.3940  2 Au 3.56-3.65
4 Cs 0.8577 0.7500 0.8940  2 Au 3.56-3.65
5 Bi 0.1515 0.1097 0.5859  2 Au 2.82-2.84, 1 Bi 3.05
6 Bi 0.1515 0.3903 0.5859  2 Au 2.82-2.84, 1 Bi 3.05
7 Bi 0.3485 0.6097 0.0859  2 Au 2.82-2.84, 1 Bi 3.05
8 Bi 0.3485 0.8903 0.0859  2 Au 2.82-2.84, 1 Bi 3.05
9 Bi 0.6515 0.1097 0.9141  2 Au 2.82-2.84, 1 Bi 3.05
10 Bi 0.6515 0.3903 0.9141  2 Au 2.82-2.84, 1 Bi 3.05
11 Bi 0.8485 0.6097 0.4141  2 Au 2.82-2.84, 1 Bi 3.05
12 Bi 0.8485 0.8903 0.4141  2 Au 2.82-2.84, 1 Bi 3.05
13 Au 0.0966 0.7500 0.2498  4 Bi 2.82-2.84
14 Au 0.4034 0.2500 0.7498  4 Bi 2.82-2.84
15 Au 0.5966 0.7500 0.2502  4 Bi 2.82-2.84
16 Au 0.9034 0.2500 0.7502  4 Bi 2.82-2.84

---

B) Computed, not measured: an optimized crystal structure of CsBi2Au at the PBE-GGA level of DFT.

Output
**ρ**: 9.8 g/cm³
**Crystal system**: cubic
**Space group**: Fm-3m (225)
**N(E_F)**: 2.37 states/eV/f.u.

Cell: 5.6394 5.6394 5.6394 Å, 60.00 60.00 60.00°
Closest atoms and distances in Å follow each position.
Positions (direct):
1 Cs 0.0000 0.0000 0.0000  8 Bi 3.45
2 Bi 0.2500 0.2500 0.2500  4 Au 3.45, 4 Cs 3.45
3 Bi 0.7500 0.7500 0.7500  4 Au 3.45, 4 Cs 3.45
4 Au 0.5000 0.5000 0.5000  8 Bi 3.45

---

C) Computed, not measured: an optimized crystal structure of CsBi2Au at the PBE-GGA level of DFT.

Output
**ρ**: 7.7 g/cm³
**Crystal system**: monoclinic
**Space group**: P2/m (10)
**N(E_F)**: 1.85 states/eV/f.u.

Cell: 5.4840 4.5626 6.8789 Å, 90.00 109.54 90.00°
Closest atoms and distances in Å follow each position.
Positions (direct):
1 Cs 0.0000 0.0000 0.0000  2 Au 3.61
2 Bi 0.2877 0.5000 0.6357  2 Au 2.86, 1 Bi 3.08
3 Bi 0.7123 0.5000 0.3643  2 Au 2.86, 1 Bi 3.08
4 Au 0.5000 0.0000 0.5000  4 Bi 2.86

---

D) Computed, not measured: an optimized crystal structure of CsBi2Au at the PBE-GGA level of DFT.

Output
**ρ**: 8.0 g/cm³
**Crystal system**: trigonal
**Space group**: R-3m (166)
**N(E_F)**: 1.70 states/eV/f.u.

Cell: 8.3464 8.3464 8.3464 Å, 33.19 33.19 33.19°
Closest atoms and distances in Å follow each position.
Positions (direct):
1 Cs 0.0000 0.0000 0.0000  6 Bi 3.98
2 Bi 0.2114 0.2114 0.2114  3 Au 2.95
3 Bi 0.7886 0.7886 0.7886  3 Au 2.95
4 Au 0.5000 0.5000 0.5000  6 Bi 2.95

---

Result of the stability comparison: C) is the most stable of them.

---

A) Computed, not measured: an optimized crystal structure of CsBiAu at the PBE-GGA level of DFT.

Output
**ρ**: 7.2 g/cm³
**Crystal system**: hexagonal
**Space group**: P-6m2 (187)
**N(E_F)**: 2.28 states/eV/f.u.

Cell: 4.8739 4.8739 6.0300 Å, 90.00 90.00 120.00°
Closest atoms and distances in Å follow each position.
Positions (direct):
1 Cs 0.0000 0.0000 0.0000  6 Au 4.12, 6 Bi 4.12
2 Bi 0.6667 0.3333 0.5000  3 Au 2.81
3 Au 0.3333 0.6667 0.5000  3 Bi 2.81

---

B) Computed, not measured: an optimized crystal structure of CsBiAu at the PBE-GGA level of DFT.

Output
**ρ**: 7.8 g/cm³
**Crystal system**: tetragonal
**Space group**: I4mm (107)
**N(E_F)**: 1.16 states/eV/f.u.

Cell: 7.3893 7.3893 7.3893 Å, 147.69 147.69 46.35°
Closest atoms and distances in Å follow each position.
Positions (direct):
1 Cs 0.0000 0.0000 0.0000  1 Au 3.62, 1 Bi 3.77
2 Bi 0.2777 0.2777 0.0000  4 Au 2.97
3 Au 0.7332 0.7332 0.0000  4 Bi 2.97

---

Result of the stability comparison: A) is the most stable of them.

---

A) Computed, not measured: an optimized crystal structure of CsBiAu3 at the PBE-GGA level of DFT.

Output
**ρ**: 8.5 g/cm³
**Crystal system**: orthorhombic
**Space group**: Pcca (54)
**N(E_F)**: 3.37 states/eV/f.u.

Cell: 9.0669 6.3291 12.6572 Å, 90.00 90.00 90.00°
Closest atoms and distances in Å follow each position.
Positions (direct):
1 Cs 0.0000 0.2223 0.2500  8 Au 3.74-4.14
2 Cs 0.0000 0.7777 0.7500  8 Au 3.74-4.14
3 Cs 0.5000 0.2223 0.7500  8 Au 3.74-4.14
4 Cs 0.5000 0.7777 0.2500  8 Au 3.74-4.14
5 Bi 0.2500 0.5000 0.0007  6 Au 2.88-3.16
6 Bi 0.2500 0.5000 0.5007  6 Au 2.88-3.16
7 Bi 0.7500 0.5000 0.4993  6 Au 2.88-3.16
8 Bi 0.7500 0.5000 0.9993  6 Au 2.88-3.16
9 Au 0.9995 0.2345 0.5456  2 Au 2.77, 2 Bi 2.88
10 Au 0.0005 0.2345 0.9544  2 Au 2.77, 2 Bi 2.88
11 Au 0.9995 0.7655 0.0456  2 Au 2.77, 2 Bi 2.88
12 Au 0.0005 0.7655 0.4544  2 Au 2.77, 2 Bi 2.88
13 Au 0.2500 0.0000 0.0005  4 Au 2.77
14 Au 0.2500 0.0000 0.5005  4 Au 2.77
15 Au 0.5005 0.2345 0.0456  2 Au 2.77, 2 Bi 2.88
16 Au 0.4995 0.2345 0.4544  2 Au 2.77, 2 Bi 2.88
17 Au 0.5005 0.7655 0.5456  2 Au 2.77, 2 Bi 2.88
18 Au 0.4995 0.7655 0.9544  2 Au 2.77, 2 Bi 2.88
19 Au 0.7500 0.0000 0.9995  4 Au 2.77
20 Au 0.7500 0.0000 0.4995  4 Au 2.77

---

B) Computed, not measured: an optimized crystal structure of CsBiAu3 at the PBE-GGA level of DFT.

Output
**ρ**: 8.7 g/cm³
**Crystal system**: cubic
**Space group**: Pm-3m (221)
**N(E_F)**: 1.02 states/eV/f.u.

Cell: 5.6180 5.6180 5.6180 Å, 90.00 90.00 90.00°
Closest atoms and distances in Å follow each position.
Positions (direct):
1 Cs 0.0000 0.0000 0.0000  12 Au 3.97
2 Bi 0.5000 0.5000 0.5000  6 Au 2.81
3 Au 0.0000 0.5000 0.5000  2 Bi 2.81
4 Au 0.5000 0.0000 0.5000  2 Bi 2.81
5 Au 0.5000 0.5000 0.0000  2 Bi 2.81

---

C) Computed, not measured: an optimized crystal structure of CsBiAu3 at the PBE-GGA level of DFT.

Output
**ρ**: 7.7 g/cm³
**Crystal system**: cubic
**Space group**: Pm-3m (221)
**N(E_F)**: 2.30 states/eV/f.u.

Cell: 5.8528 5.8528 5.8528 Å, 90.00 90.00 90.00°
Closest atoms and distances in Å follow each position.
Positions (direct):
1 Cs 0.0000 0.0000 0.0000  6 Au 2.93
2 Bi 0.5000 0.5000 0.5000  12 Au 4.14
3 Au 0.0000 0.0000 0.5000  2 Cs 2.93
4 Au 0.0000 0.5000 0.0000  2 Cs 2.93
5 Au 0.5000 0.0000 0.0000  2 Cs 2.93

---

Result of the stability comparison: A) is the most stable of them.

---

A) Computed, not measured: an optimized crystal structure of Cs2BiAu2 at the PBE-GGA level of DFT.

Output
**ρ**: 8.0 g/cm³
**Crystal system**: tetragonal
**Space group**: P4/mbm (127)
**N(E_F)**: 3.33 states/eV/f.u.

Cell: 7.8065 7.8065 5.8942 Å, 90.00 90.00 90.00°
Closest atoms and distances in Å follow each position.
Positions (direct):
1 Cs 0.1782 0.3218 0.0000  6 Au 3.62-3.83, 1 Cs 3.93
2 Cs 0.3218 0.8218 0.0000  6 Au 3.62-3.83, 1 Cs 3.93
3 Cs 0.6782 0.1782 0.0000  6 Au 3.62-3.83, 1 Cs 3.93
4 Cs 0.8218 0.6782 0.0000  6 Au 3.62-3.83, 1 Cs 3.93
5 Bi 0.0000 0.0000 0.5000  4 Au 3.06
6 Bi 0.5000 0.5000 0.5000  4 Au 3.06
7 Au 0.1310 0.6310 0.5000  1 Au 2.89, 2 Bi 3.06
8 Au 0.3690 0.1310 0.5000  1 Au 2.89, 2 Bi 3.06
9 Au 0.6310 0.8690 0.5000  1 Au 2.89, 2 Bi 3.06
10 Au 0.8690 0.3690 0.5000  1 Au 2.89, 2 Bi 3.06

---

B) Computed, not measured: an optimized crystal structure of Cs2BiAu2 at the PBE-GGA level of DFT.

Output
**ρ**: 7.6 g/cm³
**Crystal system**: tetragonal
**Space group**: I4/mmm (139)
**N(E_F)**: 5.78 states/eV/f.u.

Cell: 8.2439 8.2439 8.2439 Å, 144.16 144.16 51.59°
Closest atoms and distances in Å follow each position.
Positions (direct):
1 Cs 0.2500 0.7500 0.5000  4 Au 3.47, 4 Cs 3.59
2 Cs 0.7500 0.2500 0.5000  4 Au 3.47, 4 Cs 3.59
3 Bi 0.0000 0.0000 0.0000  8 Au 3.83
4 Au 0.4096 0.4096 0.0000  1 Au 2.68
5 Au 0.5904 0.5904 0.0000  1 Au 2.68

---

C) Computed, not measured: an optimized crystal structure of Cs2BiAu2 at the PBE-GGA level of DFT.

Output
**ρ**: 7.9 g/cm³
**Crystal system**: tetragonal
**Space group**: I4/mmm (139)
**N(E_F)**: 1.48 states/eV/f.u.

Cell: 12.3603 12.3603 12.3603 Å, 161.83 161.83 25.80°
Closest atoms and distances in Å follow each position.
Positions (direct):
1 Cs 0.1192 0.1192 0.0000  4 Au 3.71, 4 Cs 3.90, 4 Bi 3.98
2 Cs 0.8808 0.8808 0.0000  4 Au 3.71, 4 Cs 3.90, 4 Bi 3.98
3 Bi 0.5000 0.5000 0.0000  4 Bi 3.90, 8 Cs 3.98
4 Au 0.2500 0.7500 0.5000  4 Au 2.76
5 Au 0.7500 0.2500 0.5000  4 Au 2.76

---

D) Computed, not measured: an optimized crystal structure of Cs2BiAu2 at the PBE-GGA level of DFT.

Output
**ρ**: 7.2 g/cm³
**Crystal system**: tetragonal
**Space group**: P4/mbm (127)
**N(E_F)**: 2.31 states/eV/f.u.

Cell: 10.9297 10.9297 3.3725 Å, 90.00 90.00 90.00°
Closest atoms and distances in Å follow each position.
Positions (direct):
1 Cs 0.1908 0.3092 0.0000  2 Cs 3.37, 4 Au 3.67
2 Cs 0.3092 0.8092 0.0000  2 Cs 3.37, 4 Au 3.67
3 Cs 0.6908 0.1908 0.0000  2 Cs 3.37, 4 Au 3.67
4 Cs 0.8092 0.6908 0.0000  2 Cs 3.37, 4 Au 3.67
5 Bi 0.0000 0.0000 0.0000  2 Bi 3.37
6 Bi 0.5000 0.5000 0.0000  2 Bi 3.37
7 Au 0.0905 0.5905 0.5000  1 Au 2.80
8 Au 0.4095 0.0905 0.5000  1 Au 2.80
9 Au 0.5905 0.9095 0.5000  1 Au 2.80
10 Au 0.9095 0.4095 0.5000  1 Au 2.80

---

Result of the stability comparison: A) is the most stable of them.

---

A) Computed, not measured: an optimized crystal structure of CsHg2BiAu at the PBE-GGA level of DFT.

Output
**ρ**: 7.5 g/cm³
**Crystal system**: tetragonal
**Space group**: P4/mmm (123)
**N(E_F)**: 2.89 states/eV/f.u.

Cell: 6.0374 6.0374 5.6849 Å, 90.00 90.00 90.00°
Closest atoms and distances in Å follow each position.
Positions (direct):
1 Cs 0.0000 0.0000 0.0000  8 Hg 4.15, 4 Au 4.27
2 Hg 0.0000 0.5000 0.5000  2 Bi 3.02
3 Hg 0.5000 0.0000 0.5000  2 Bi 3.02
4 Bi 0.5000 0.5000 0.5000  2 Au 2.84, 4 Hg 3.02
5 Au 0.5000 0.5000 0.0000  2 Bi 2.84

---

B) Computed, not measured: an optimized crystal structure of CsHg2BiAu at the PBE-GGA level of DFT.

Output
**ρ**: 8.6 g/cm³
**Crystal system**: tetragonal
**Space group**: P4/mmm (123)
**N(E_F)**: 4.30 states/eV/f.u.

Cell: 5.5672 5.5672 5.8337 Å, 90.00 90.00 90.00°
Closest atoms and distances in Å follow each position.
Positions (direct):
1 Cs 0.0000 0.0000 0.0000  4 Bi 3.94, 8 Hg 4.03
2 Hg 0.0000 0.5000 0.5000  2 Au 2.78
3 Hg 0.5000 0.0000 0.5000  2 Au 2.78
4 Bi 0.5000 0.5000 0.0000  2 Au 2.92
5 Au 0.5000 0.5000 0.5000  4 Hg 2.78, 2 Bi 2.92

---

Result of the stability comparison: A) is the most stable of them.

---

A) Computed, not measured: an optimized crystal structure of Cu2BiAu2 at the PBE-GGA level of DFT.

Output
**ρ**: 13.5 g/cm³
**Crystal system**: tetragonal
**Space group**: P4/mbm (127)
**N(E_F)**: 1.92 states/eV/f.u.

Cell: 7.5662 7.5662 3.1423 Å, 90.00 90.00 90.00°
Closest atoms and distances in Å follow each position.
Positions (direct):
1 Cu 0.1227 0.3773 0.0000  1 Cu 2.63, 6 Au 2.72-2.74
2 Cu 0.3773 0.8773 0.0000  1 Cu 2.63, 6 Au 2.72-2.74
3 Cu 0.6227 0.1227 0.0000  1 Cu 2.63, 6 Au 2.72-2.74
4 Cu 0.8773 0.6227 0.0000  1 Cu 2.63, 6 Au 2.72-2.74
5 Bi 0.0000 0.0000 0.0000  4 Cu 3.00, 2 Bi 3.14, 8 Au 3.23
6 Bi 0.5000 0.5000 0.0000  4 Cu 3.00, 2 Bi 3.14, 8 Au 3.23
7 Au 0.1675 0.6675 0.5000  6 Cu 2.72-2.74
8 Au 0.3325 0.1675 0.5000  6 Cu 2.72-2.74
9 Au 0.6675 0.8325 0.5000  6 Cu 2.72-2.74
10 Au 0.8325 0.3325 0.5000  6 Cu 2.72-2.74

---

B) Computed, not measured: an optimized crystal structure of Cu2BiAu2 at the PBE-GGA level of DFT.

Output
**ρ**: 12.7 g/cm³
**Crystal system**: tetragonal
**Space group**: I4/mmm (139)
**N(E_F)**: 1.71 states/eV/f.u.

Cell: 7.3005 7.3005 7.3005 Å, 150.22 150.22 42.62°
Closest atoms and distances in Å follow each position.
Positions (direct):
1 Cu 0.2500 0.7500 0.5000  4 Au 2.64, 4 Cu 2.65
2 Cu 0.7500 0.2500 0.5000  4 Au 2.64, 4 Cu 2.65
3 Bi 0.0000 0.0000 0.0000  8 Au 3.07
4 Au 0.3867 0.3867 0.0000  4 Cu 2.64
5 Au 0.6133 0.6133 0.0000  4 Cu 2.64

---

C) Computed, not measured: an optimized crystal structure of Cu2BiAu2 at the PBE-GGA level of DFT.

Output
**ρ**: 12.8 g/cm³
**Crystal system**: tetragonal
**Space group**: I4/mmm (139)
**N(E_F)**: 1.72 states/eV/f.u.

Cell: 6.5652 6.5652 6.5652 Å, 144.61 144.61 50.92°
Closest atoms and distances in Å follow each position.
Positions (direct):
1 Cu 0.1014 0.1014 0.0000  1 Cu 2.40, 4 Au 2.66
2 Cu 0.8986 0.8986 0.0000  1 Cu 2.40, 4 Au 2.66
3 Bi 0.5000 0.5000 0.0000  8 Cu 3.07
4 Au 0.2500 0.7500 0.5000  4 Cu 2.66, 4 Au 2.82
5 Au 0.7500 0.2500 0.5000  4 Cu 2.66, 4 Au 2.82

---

Result of the stability comparison: A) is the most stable of them.

---

A) Computed, not measured: an optimized crystal structure of Cu3BiAu at the PBE-GGA level of DFT.

Output
**ρ**: 8.2 g/cm³
**Crystal system**: cubic
**Space group**: Pm-3m (221)
**N(E_F)**: 1.60 states/eV/f.u.

Cell: 4.9434 4.9434 4.9434 Å, 90.00 90.00 90.00°
Closest atoms and distances in Å follow each position.
Positions (direct):
1 Cu 0.0000 0.0000 0.5000  2 Bi 2.47
2 Cu 0.0000 0.5000 0.0000  2 Bi 2.47
3 Cu 0.5000 0.0000 0.0000  2 Bi 2.47
4 Bi 0.0000 0.0000 0.0000  6 Cu 2.47
5 Au 0.5000 0.5000 0.5000  12 Cu 3.50

---

B) Computed, not measured: an optimized crystal structure of Cu3BiAu at the PBE-GGA level of DFT.

Output
**ρ**: 9.1 g/cm³
**Crystal system**: cubic
**Space group**: Pm-3m (221)
**N(E_F)**: 2.62 states/eV/f.u.

Cell: 4.7700 4.7700 4.7700 Å, 90.00 90.00 90.00°
Closest atoms and distances in Å follow each position.
Positions (direct):
1 Cu 0.0000 0.0000 0.5000  2 Au 2.38
2 Cu 0.0000 0.5000 0.0000  2 Au 2.38
3 Cu 0.5000 0.0000 0.0000  2 Au 2.38
4 Bi 0.5000 0.5000 0.5000  12 Cu 3.37
5 Au 0.0000 0.0000 0.0000  6 Cu 2.38

---

Result of the stability comparison: B) is the most stable of them.